Model one:
Material: Na2SbH
Method: DFT, PBE
State: relaxed

Summary:
The calculation puts the theoretical density at 3.0 g/cm³. As for the symmetry: I-42d.

Cell lengths 6.6618, 6.6618, 6.3059 Å; angles 58.11, 58.11, 90.00 degrees
Fractional positions:
Na (0.2649, 0.6250, 0.2500)
Na (0.3750, 0.5149, 0.7500)
Sb (0.0000, 0.0000, 0.0000)
H (0.2500, 0.7500, 0.5000)
Sb (0.7500, 0.2500, 0.5000)
H (0.5000, 0.5000, 0.0000)
Na (0.4851, 0.1250, 0.2500)
Na (0.8750, 0.7351, 0.7500)

Model two:
Material: Na2SbH
Method: DFT, PBE
State: relaxed

Summary:
The calculation puts the theoretical density at 2.8 g/cm³. As for the symmetry: P2_1/c.

Cell lengths 8.0780, 5.0891, 9.7783 Å; angles 92.11, 90.00, 90.00 degrees
Fractional positions:
Na (0.1556, 0.2013, 0.5510)
Na (0.9239, 0.8284, 0.8250)
H (0.0653, 0.4988, 0.3717)
H (0.4347, 0.9988, 0.8717)
H (0.5653, 0.0012, 0.1283)
Sb (0.2533, 0.1933, 0.8618)
Na (0.4239, 0.6716, 0.6750)
Sb (0.2467, 0.6932, 0.3618)
Na (0.3444, 0.7013, 0.0510)
Na (0.6556, 0.2987, 0.9490)
Sb (0.7467, 0.8067, 0.1382)
H (0.9347, 0.5012, 0.6283)
Sb (0.7533, 0.3068, 0.6382)
Na (0.0761, 0.1716, 0.1750)
Na (0.8444, 0.7987, 0.4490)
Na (0.5761, 0.3284, 0.3250)

The structure with the least stability is model one.

Model one:
Material: NaSbH
Method: DFT, PBE
State: relaxed

Summary:
The calculation puts the theoretical density at 3.7 g/cm³. As for the symmetry: Pm.

Cell lengths 3.3407, 9.3834, 6.9024 Å; angles 37.26, 89.95, 89.96 degrees
Fractional positions:
Na (0.0875, 0.8699, 0.6464)
Na (0.0879, 0.4596, 0.5509)
H (0.5873, 0.8941, 0.3501)
Sb (0.5872, 0.3637, 0.1784)
Sb (0.5876, 0.9655, 0.0230)
H (0.5872, 0.4377, 0.8490)

Model two:
Material: NaSbH
Method: DFT, PBE
State: relaxed

Summary:
The calculation puts the theoretical density at 3.8 g/cm³. As for the symmetry: C2/m.

Cell lengths 4.1960, 5.7456, 6.9709 Å; angles 122.27, 90.00, 111.42 degrees
Fractional positions:
Na (0.9248, 0.8497, 0.1679)
Na (0.0752, 0.1503, 0.8321)
H (0.4666, 0.9333, 0.9344)
Sb (0.6866, 0.3733, 0.5743)
H (0.5334, 0.0667, 0.0656)
Sb (0.3134, 0.6267, 0.4257)

The structure with the least stability is model one.

Model one:
Material: NaSbH
Method: DFT, PBE
State: relaxed

Summary:
The calculation puts the theoretical density at 3.7 g/cm³. As for the symmetry: P-1.

Cell lengths 6.7252, 3.3628, 8.0046 Å; angles 89.73, 49.28, 76.01 degrees
Fractional positions:
Sb (0.0353, 0.7255, 0.1834)
H (0.1378, 0.6752, 0.3400)
Na (0.4554, 0.0170, 0.2740)
H (0.8622, 0.3248, 0.6600)
Sb (0.9647, 0.2745, 0.8166)
Na (0.5446, 0.9830, 0.7260)

Model two:
Material: NaSbH
Method: DFT, PBE
State: relaxed

Summary:
The calculation puts the theoretical density at 3.9 g/cm³. As for the symmetry: I4mm.

Cell lengths 3.2130, 3.2130, 6.4308 Å; angles 104.47, 104.47, 90.00 degrees
Fractional positions:
Na (0.3756, 0.3756, 0.7512)
Sb (0.6521, 0.6521, 0.3041)
H (0.8223, 0.8223, 0.6447)

The structure with the least stability is model two.

Model one:
Material: NaSb3H
Method: DFT, PBE
State: relaxed

Summary:
The calculation puts the theoretical density at 4.1 g/cm³. As for the symmetry: Pm-3m.

Cell lengths 5.4242, 5.4242, 5.4242 Å; angles 90.00, 90.00, 90.00 degrees
Site moments in Bohr magnetons follow the coordinates.
Fractional positions:
Na (0.0000, 0.0000, 0.0000)  0.00
H (0.5000, 0.5000, 0.5000)  0.34
Sb (0.0000, 0.0000, 0.5000)  -0.04
Sb (0.5000, 0.0000, 0.0000)  0.00
Sb (0.0000, 0.5000, 0.0000)  -0.01

Model two:
Material: NaSb3H
Method: DFT, PBE
State: relaxed

Summary:
The calculation puts the theoretical density at 5.8 g/cm³. As for the symmetry: Pm-3m.

Cell lengths 4.8218, 4.8218, 4.8218 Å; angles 90.00, 90.00, 90.00 degrees
Fractional positions:
Sb (0.5000, 0.0000, 0.0000)
Sb (0.0000, 0.0000, 0.5000)
Sb (0.0000, 0.5000, 0.0000)
H (0.0000, 0.0000, 0.0000)
Na (0.5000, 0.5000, 0.5000)

The structure with the least stability is model one.

Model one:
Material: NaSb2TeH
Method: DFT, PBE
State: relaxed

Summary:
The calculation puts the theoretical density at 5.6 g/cm³. As for the symmetry: P4/mmm.

Cell lengths 4.5402, 4.5402, 5.7203 Å; angles 90.00, 90.00, 90.00 degrees
Fractional positions:
Sb (0.5000, 0.0000, 0.0000)
H (0.0000, 0.0000, 0.0000)
Sb (0.0000, 0.5000, 0.0000)
Te (0.0000, 0.0000, 0.5000)
Na (0.5000, 0.5000, 0.5000)

Model two:
Material: NaSb2TeH
Method: DFT, PBE
State: relaxed

Summary:
The calculation puts the theoretical density at 4.0 g/cm³. As for the symmetry: P4/mmm.

Cell lengths 5.4560, 5.4560, 5.5183 Å; angles 90.00, 90.00, 90.00 degrees
Site moments in Bohr magnetons follow the coordinates.
Fractional positions:
Sb (0.5000, 0.0000, 0.0000)  -0.03
H (0.5000, 0.5000, 0.5000)  0.36
Na (0.0000, 0.0000, 0.0000)  0.00
Te (0.0000, 0.0000, 0.5000)  0.03
Sb (0.0000, 0.5000, 0.0000)  -0.03

The structure with the least stability is model two.

Model one:
Material: NaSbTe2H
Method: DFT, PBE
State: relaxed

Summary:
The calculation puts the theoretical density at 3.9 g/cm³. As for the symmetry: P4/mmm.

Cell lengths 5.5604, 5.5604, 5.4764 Å; angles 90.00, 90.00, 90.00 degrees
Site moments in Bohr magnetons follow the coordinates.
Fractional positions:
Te (0.0000, 0.5000, 0.0000)  0.03
H (0.5000, 0.5000, 0.5000)  0.37
Sb (0.0000, 0.0000, 0.5000)  -0.04
Te (0.5000, 0.0000, 0.0000)  0.03
Na (0.0000, 0.0000, 0.0000)  0.00

Model two:
Material: NaSbTe2H
Method: DFT, PBE
State: relaxed

Summary:
The calculation puts the theoretical density at 5.4 g/cm³. As for the symmetry: P4/mmm.

Cell lengths 5.8285, 5.8285, 3.6296 Å; angles 90.00, 90.00, 90.00 degrees
Fractional positions:
Sb (0.0000, 0.0000, 0.5000)
Te (0.0000, 0.5000, 0.0000)
Na (0.5000, 0.5000, 0.5000)
Te (0.5000, 0.0000, 0.0000)
H (0.0000, 0.0000, 0.0000)

The structure with the least stability is model one.